A plane-wave DFT calculation with GGA-PBE was carried out for crystalline Pu3PaIr2 at its relaxed geometry.

## Properties
Excess energy over the best structure of this formula in the dataset (meV per atom): 160

a = 5.160 Å, b = 14.059 Å, c = 3.509 Å
α = 90.00°, β = 90.00°, γ = 90.00°
Space group Cmmm (No. 65)
Asymmetric unit:
Pu (0.000, 0.000, 0.000) (multiplicity 2)
Pu (0.000, 0.316, 0.000) (multiplicity 4)
Pa (0.000, 0.500, 0.500) (multiplicity 2)
Ir (0.000, 0.153, 0.500) (multiplicity 4)

---

A plane-wave DFT calculation with GGA-PBE was carried out for crystalline Cs3NaHg6 at its relaxed geometry.

a = 14.2556 Å, b = 14.2556 Å, c = 6.9736 Å
α = 90.00°, β = 90.00°, γ = 120.00°
Space group R3m (No. 160, hexagonal axes)
Asymmetric unit:
Cs (0.1701, 0.3401, 0.0000) (multiplicity 9)
Na (0.0000, 0.0000, 0.2227) (multiplicity 3)
Hg (0.1094, 0.5547, 0.1717) (multiplicity 9)
Hg (0.1580, 0.0790, 0.8192) (multiplicity 9)

---

A plane-wave DFT calculation with GGA-PBE was carried out for crystalline CoTcRh2 at its relaxed geometry.

## Properties
Excess energy over the best structure of this formula in the dataset (meV per atom): 30

a = 2.689 Å, b = 2.689 Å, c = 7.432 Å
α = 90.00°, β = 90.00°, γ = 90.00°
Space group P4mm (No. 99)
Asymmetric unit:
Co (0.000, 0.000, 0.000) (multiplicity 1)
Tc (0.500, 0.500, 0.764) (multiplicity 1)
Rh (0.000, 0.000, 0.506) (multiplicity 1)
Rh (0.500, 0.500, 0.236) (multiplicity 1)

---

For reference, formation energy from the elements by record: -263.9; -210.6; 10.3 meV/atom.